(1)
First-principles (PBE) data for a geometry-optimized PuPaTcPd structure, as listed in Alexandria via LeMat-Bulk.

Results
Total magnetic moment, μB per cell: 5.4
Symmetry: No. 216
Energy, eV/atom: -10.047

Cell lengths 4.882, 4.882, 4.882 Å; angles 60.00, 60.00, 60.00 degrees
Site moments in Bohr magnetons follow the coordinates.
Fractional coordinates of all 4 atoms:
Pa 0.250 0.250 0.250  0.51
Tc 0.500 0.500 0.500  -0.48
Pd 0.000 0.000 0.000  -0.03
Pu 0.750 0.750 0.750  5.08

(2)
First-principles (PBE) data for a geometry-optimized PuPaVPd structure, as listed in Alexandria via LeMat-Bulk.

Results
Total magnetic moment, μB per cell: 2.3
Symmetry: No. 216
Energy, eV/atom: -9.653

Cell lengths 4.741, 4.741, 4.741 Å; angles 60.00, 60.00, 60.00 degrees
Site moments in Bohr magnetons follow the coordinates.
Fractional coordinates of all 4 atoms:
V 0.750 0.750 0.750  -1.96
Pa 0.500 0.500 0.500  -0.02
Pd 0.000 0.000 0.000  -0.11
Pu 0.250 0.250 0.250  4.64